[1]
This record from the Alexandria database describes CsLaMgB2 after structural relaxation. The functional is PBE.

Cell: 5.034 5.034 5.926 Å, 90.00 90.00 90.00°
Fractional coordinates of all 5 atoms:
1 Cs 0.000 0.000 0.000
2 La 0.000 0.000 0.500
3 Mg 0.500 0.500 0.500
4 B 0.000 0.500 0.000
5 B 0.500 0.000 0.000

Output
D(E_F)	3.67	states/eV/cell
symmetry	P4/mmm (123)
calculated formation energy	11.57	eV per formula unit

***

[2]
This record from the Alexandria database describes Cs2LaBPd after structural relaxation. The functional is PBE.

Cell: 6.471 6.471 5.479 Å, 90.00 90.00 90.00°
Fractional coordinates of all 5 atoms:
1 Cs 0.000 0.500 0.000
2 Cs 0.500 0.000 0.000
3 La 0.000 0.000 0.500
4 B 0.500 0.500 0.500
5 Pd 0.000 0.000 0.000

Output
D(E_F)	5.21	states/eV/cell
symmetry	P4/mmm (123)
calculated formation energy	5.48	eV per formula unit

***

[3]
This record from the Alexandria database describes CsLa2B2S6 after structural relaxation. The functional is PBE.

Cell: 7.519 7.519 7.622 Å, 114.09 114.09 59.64°
Fractional coordinates of all 11 atoms:
1 Cs 0.000 0.000 0.000
2 La 0.328 0.328 0.670
3 La 0.672 0.672 0.330
4 B 0.348 0.348 0.257
5 B 0.652 0.652 0.743
6 S 0.106 0.526 0.342
7 S 0.424 0.424 0.107
8 S 0.474 0.894 0.658
9 S 0.526 0.106 0.342
10 S 0.576 0.576 0.893
11 S 0.894 0.474 0.658

Output
E_form (uncorrected)	-1162	meV/atom
D(E_F)	3.97	states/eV/cell
symmetry	C2/m (12)

***

[4]
This record from the Alexandria database describes CsLiB3 after structural relaxation. The functional is PBE.

Cell: 4.505 4.505 4.505 Å, 90.00 90.00 90.00°
Fractional coordinates of all 5 atoms:
1 Cs 0.000 0.000 0.000
2 Li 0.500 0.500 0.500
3 B 0.000 0.500 0.500
4 B 0.500 0.000 0.500
5 B 0.500 0.500 0.000

Output
relative energy among the computed polymorphs	0.000	eV/atom
D(E_F)	4.10	states/eV/cell
symmetry	Pm-3m (221)
calculated formation energy	10.89	eV per formula unit

***

[5]
This record from the Alexandria database describes CsLiB3 after structural relaxation. The functional is PBE.

Cell: 5.123 5.123 5.123 Å, 90.00 90.00 90.00°
Fractional coordinates of all 5 atoms:
1 Cs 0.000 0.000 0.000
2 Li 0.500 0.500 0.500
3 B 0.000 0.000 0.500
4 B 0.000 0.500 0.000
5 B 0.500 0.000 0.000

Output
relative energy among the computed polymorphs	0.868	eV/atom
D(E_F)	4.94	states/eV/cell
symmetry	Pm-3m (221)
calculated formation energy	15.23	eV per formula unit

***

[6]
This record from the Alexandria database describes CsLiMn2B after structural relaxation. The functional is PBE.

Cell: 4.356 4.356 5.250 Å, 90.00 90.00 90.00°
Fractional coordinates of all 5 atoms:
1 Cs 0.000 0.000 0.000
2 Li 0.500 0.500 0.000
3 Mn 0.000 0.500 0.500
4 Mn 0.500 0.000 0.500
5 B 0.500 0.500 0.500

Output
D(E_F)	3.12	states/eV/cell
symmetry	P4/mmm (123)
calculated formation energy	3.74	eV per formula unit

***

[7]
This record from the Alexandria database describes CsLi2BN2 after structural relaxation. The functional is PBE.

Cell: 4.931 9.268 3.825 Å, 90.00 90.00 90.00°
Fractional coordinates of all 12 atoms:
1 Cs 0.000 0.000 0.000
2 Cs 0.500 0.500 0.500
3 Li 0.075 0.275 0.500
4 Li 0.425 0.775 0.000
5 Li 0.575 0.225 0.000
6 Li 0.925 0.725 0.500
7 B 0.000 0.500 0.000
8 B 0.500 0.000 0.500
9 N 0.033 0.645 0.000
10 N 0.467 0.145 0.500
11 N 0.533 0.855 0.500
12 N 0.967 0.355 0.000

Output
E_form (uncorrected)	-616	meV/atom
D(E_F)	0.00	states/eV/cell
symmetry	Pnnm (58)

***

[8]
This record from the Alexandria database describes Cs3NaLi2B2O6 after structural relaxation. The functional is PBE.

Cell: 6.852 7.420 10.384 Å, 95.42 101.36 103.43°
Fractional coordinates of all 28 atoms:
1 Cs 0.137 0.264 0.420
2 Cs 0.289 0.771 0.365
3 Cs 0.312 0.687 0.010
4 Cs 0.688 0.313 0.990
5 Cs 0.711 0.229 0.635
6 Cs 0.863 0.736 0.580
7 Na 0.173 0.168 0.081
8 Na 0.827 0.832 0.919
9 Li 0.280 0.405 0.739
10 Li 0.304 0.915 0.736
11 Li 0.696 0.085 0.264
12 Li 0.720 0.595 0.261
13 B 0.154 0.133 0.812
14 B 0.474 0.691 0.720
15 B 0.526 0.309 0.280
16 B 0.846 0.867 0.188
17 O 0.126 0.298 0.872
18 O 0.152 0.974 0.874
19 O 0.200 0.130 0.685
20 O 0.262 0.638 0.661
21 O 0.422 0.120 0.260
22 O 0.428 0.444 0.236
23 O 0.572 0.556 0.764
24 O 0.578 0.880 0.740
25 O 0.738 0.362 0.339
26 O 0.800 0.870 0.315
27 O 0.848 0.026 0.126
28 O 0.874 0.702 0.128

Output
E_form (uncorrected)	-2037	meV/atom
D(E_F)	0.00	states/eV/cell
symmetry	P-1 (2)